[1]
Entry from the Alexandria database: a relaxed structure of Pr12Ga5Hg2 (PBE-GGA).

a = 16.0901 Å, b = 7.7234 Å, c = 9.4952 Å
α = 90.00°, β = 90.38°, γ = 90.00°
Closest atoms and distances in Å follow each position.
Space group C2/m (No. 12)
Inequivalent atoms, fractional coordinates:
Pr 0.0279 0.0000 0.1980  2 Ga 3.21-3.40, 2 Hg 3.27, 2 Pr 3.50
Pr 0.0619 0.5000 0.6929  2 Ga 3.09-3.43, 2 Hg 3.14
Pr 0.1447 0.2406 0.9576  3 Ga 3.03-3.16
Pr 0.1817 0.2709 0.3698  2 Ga 2.94-3.23, 1 Hg 3.24
Ga 0.0000 0.5000 0.0000  6 Pr 3.09-3.10
Ga 0.1512 0.0000 0.6544  2 Hg 3.21, 7 Pr 3.21-3.45
Ga 0.2388 0.0000 0.1761  6 Pr 2.94-3.16
Hg 0.0000 0.1948 0.5000  1 Hg 3.01, 6 Pr 3.14-3.27, 2 Ga 3.21

Computed properties:
- Formation energy: -0.226 eV per atom

***

[2]
Entry from the Alexandria database: a relaxed structure of TlSn4Se5 (PBE-GGA).

a = 14.3094 Å, b = 4.2585 Å, c = 10.6089 Å
α = 90.00°, β = 119.85°, γ = 90.00°
Closest atoms and distances in Å follow each position.
Space group C2/m (No. 12)
Inequivalent atoms, fractional coordinates:
Tl 0.0000 0.0000 0.0000  6 Se 3.15-3.18
Sn 0.1024 0.5000 0.4036  6 Se 2.89-3.10
Sn 0.2006 0.0000 0.8015  6 Se 2.89-3.11
Se 0.0000 0.0000 0.5000  6 Sn 3.04-3.05
Se 0.1106 0.5000 0.8923  4 Sn 2.89-3.10, 2 Tl 3.18
Se 0.2030 0.0000 0.3153  5 Sn 2.89-3.11, 1 Tl 3.15

Computed properties:
- Excess energy over the best structure of this formula in the dataset: 0.0000 eV per atom
- Energy relative to the elements, uncorrected: -0.42 eV/atom

***

[3]
Entry from the Alexandria database: a relaxed structure of CaAgGe2 (PBE-GGA).

a = 4.3838 Å, b = 4.3838 Å, c = 4.2729 Å
α = 90.00°, β = 90.00°, γ = 90.00°
Closest atoms and distances in Å follow each position.
Space group P4/mmm (No. 123)
Inequivalent atoms, fractional coordinates:
Ca 0.0000 0.0000 0.0000  8 Ge 3.06, 4 Ag 3.10
Ag 0.5000 0.5000 0.0000  8 Ge 3.06, 4 Ca 3.10
Ge 0.0000 0.5000 0.5000  4 Ag 3.06, 4 Ca 3.06, 4 Ge 3.10

Computed properties:
- Formation energy: -0.200 eV per atom

***

[4]
Entry from the Alexandria database: a relaxed structure of HgPb2Au (PBE-GGA).

a = 5.2597 Å, b = 5.2597 Å, c = 3.7783 Å
α = 90.00°, β = 90.00°, γ = 90.00°
Closest atoms and distances in Å follow each position.
Space group P4/mmm (No. 123)
Inequivalent atoms, fractional coordinates:
Hg 0.0000 0.0000 0.0000  8 Pb 3.24
Pb 0.0000 0.5000 0.5000  4 Au 3.24, 4 Hg 3.24
Au 0.5000 0.5000 0.0000  8 Pb 3.24

Computed properties:
- Excess energy over the best structure of this formula in the dataset: 0.0638 eV per atom
- Formation energy: 0.025 eV per atom

***

| no. | magnetic moment (μB/cell) | calculated total energy (eV/atom) |
| --- | --- | --- |
| 1 | 0.0 | -4.07 |
| 2 | 0.0 | -4.00 |
| 3 | 0.0 | -3.72 |
| 4 | 0.0 | -2.72 |